Version A
Below is an optimized crystal structure of Na3SiMo, with properties calculated at the PBE level.

The space group is Pm-3m (No. 221) and the conventional cell measures 5.5346, 5.5346 and 5.5346 Å, with angles of 90.00, 90.00 and 90.00 degrees. The asymmetric unit holds Na at (0.0000, 0.0000, 0.5000), Si at (0.0000, 0.0000, 0.0000) and Mo at (0.5000, 0.5000, 0.5000).

The calculation puts the total moment at 4.96 μB per cell.

***

Version B
Below is an optimized crystal structure of Na3SiMo, with properties calculated at the PBE level.

The space group is Pm-3m (No. 221) and the conventional cell measures 5.7285, 5.7285 and 5.7285 Å, with angles of 90.00, 90.00 and 90.00 degrees. The asymmetric unit holds Na at (0.0000, 0.0000, 0.5000), Si at (0.5000, 0.5000, 0.5000) and Mo at (0.0000, 0.0000, 0.0000).

The calculation puts the total moment at 3.97 μB per cell.

***

The structure with the greatest stability is version A.

***

Version A
Below is an optimized crystal structure of NaSi3Mo, with properties calculated at the PBE level.

The space group is Pm-3m (No. 221) and the conventional cell measures 4.7884, 4.7884 and 4.7884 Å, with angles of 90.00, 90.00 and 90.00 degrees. The asymmetric unit holds Na at (0.0000, 0.0000, 0.0000), Si at (0.0000, 0.5000, 0.5000) and Mo at (0.5000, 0.5000, 0.5000).

The calculation puts the total moment at 0.00 μB per cell.

***

Version B
Below is an optimized crystal structure of NaSi3Mo, with properties calculated at the PBE level.

The space group is Pm-3m (No. 221) and the conventional cell measures 4.7412, 4.7412 and 4.7412 Å, with angles of 90.00, 90.00 and 90.00 degrees. The asymmetric unit holds Na at (0.0000, 0.0000, 0.0000), Si at (0.0000, 0.0000, 0.5000) and Mo at (0.5000, 0.5000, 0.5000).

The calculation puts the total moment at 3.40 μB per cell.

***

The structure with the greatest stability is version A.

***

Version A
Below is an optimized crystal structure of NaSi2Mo2, with properties calculated at the PBE level.

The space group is I4/mmm (No. 139) and the conventional cell measures 4.6852, 4.6852 and 8.3919 Å, with angles of 90.00, 90.00 and 90.00 degrees. The asymmetric unit holds Na at (0.0000, 0.0000, 0.0000), Si at (0.0000, 0.5000, 0.2500) and Mo at (0.0000, 0.0000, 0.3597).

The calculation puts the total moment at 0.00 μB per cell.

***

Version B
Below is an optimized crystal structure of NaSi2Mo2, with properties calculated at the PBE level.

The space group is P4/mbm (No. 127) and the conventional cell measures 6.8517, 6.8517 and 3.2541 Å, with angles of 90.00, 90.00 and 90.00 degrees. The asymmetric unit holds Na at (0.0000, 0.0000, 0.0000), Si at (0.1289, 0.3711, 0.0000) and Mo at (0.1628, 0.6628, 0.5000).

The calculation puts the total moment at 0.00 μB per cell.

***

The structure with the greatest stability is version B.

***

Version A
Below is an optimized crystal structure of NaSnMo, with properties calculated at the PBE level.

The space group is Immm (No. 71) and the conventional cell measures 3.7310, 3.8918 and 18.6457 Å, with angles of 90.00, 90.00 and 90.00 degrees. The asymmetric unit holds Na at (0.0000, 0.0000, 0.1949), Sn at (0.0000, 0.0000, 0.3840), Mo at (0.0000, 0.5000, 0.0000) and Mo at (0.0000, 0.5000, 0.5000).

The calculation puts the total moment at 0.00 μB per cell.

***

Version B
Below is an optimized crystal structure of NaSnMo, with properties calculated at the PBE level.

The space group is C2/m (No. 12) and the conventional cell measures 9.5525, 3.3182 and 8.8687 Å, with angles of 90.00, 110.50 and 90.00 degrees. The asymmetric unit holds Na at (0.1591, 0.0000, 0.0989), Sn at (0.0059, 0.5000, 0.7067) and Mo at (0.1827, 0.0000, 0.5568).

The calculation puts the total moment at 0.00 μB per cell.

***

The structure with the greatest stability is version B.

***

Version A
Below is an optimized crystal structure of NaSr3Mo, with properties calculated at the PBE level.

The space group is Pm-3m (No. 221) and the conventional cell measures 6.2788, 6.2788 and 6.2788 Å, with angles of 90.00, 90.00 and 90.00 degrees. The asymmetric unit holds Na at (0.0000, 0.0000, 0.0000), Sr at (0.0000, 0.0000, 0.5000) and Mo at (0.5000, 0.5000, 0.5000).

The calculation puts the total moment at 4.67 μB per cell.

***

Version B
Below is an optimized crystal structure of NaSr3Mo, with properties calculated at the PBE level.

The space group is Pm-3m (No. 221) and the conventional cell measures 5.9520, 5.9520 and 5.9520 Å, with angles of 90.00, 90.00 and 90.00 degrees. The asymmetric unit holds Na at (0.0000, 0.0000, 0.0000), Sr at (0.0000, 0.5000, 0.5000) and Mo at (0.5000, 0.5000, 0.5000).

The calculation puts the total moment at 0.44 μB per cell.

***

The structure with the greatest stability is version B.

***

Version A
Below is an optimized crystal structure of NaSr2Mo, with properties calculated at the PBE level.

The space group is Fm-3m (No. 225) and the conventional cell measures 8.2038, 8.2038 and 8.2038 Å, with angles of 90.00, 90.00 and 90.00 degrees. The asymmetric unit holds Na at (0.0000, 0.0000, 0.0000), Sr at (0.2500, 0.2500, 0.2500) and Mo at (0.0000, 0.0000, 0.5000).

The calculation puts the total moment at 12.79 μB per cell.

***

Version B
Below is an optimized crystal structure of NaSr2Mo, with properties calculated at the PBE level.

The space group is I-42d (No. 122) and the conventional cell measures 9.0592, 9.0592 and 7.2975 Å, with angles of 90.00, 90.00 and 90.00 degrees. The asymmetric unit holds Na at (0.0000, 0.0000, 0.0000), Sr at (0.2287, 0.7500, 0.6250) and Mo at (0.0000, 0.0000, 0.5000).

The calculation puts the total moment at 14.95 μB per cell.

***

The structure with the greatest stability is version A.

***

Version A
Below is an optimized crystal structure of NaTa2Mo, with properties calculated at the PBE level.

The space group is Fm-3m (No. 225) and the conventional cell measures 6.5876, 6.5876 and 6.5876 Å, with angles of 90.00, 90.00 and 90.00 degrees. The asymmetric unit holds Na at (0.0000, 0.0000, 0.0000), Ta at (0.2500, 0.2500, 0.2500) and Mo at (0.0000, 0.0000, 0.5000).

The calculation puts the total moment at 0.00 μB per cell.

***

Version B
Below is an optimized crystal structure of NaTa2Mo, with properties calculated at the PBE level.

The space group is I-42d (No. 122) and the conventional cell measures 3.9869, 3.9869 and 19.5473 Å, with angles of 90.00, 90.00 and 90.00 degrees. The asymmetric unit holds Na at (0.0000, 0.0000, 0.0000), Ta at (0.2333, 0.2500, 0.6250) and Mo at (0.0000, 0.0000, 0.5000).

The calculation puts the total moment at 2.48 μB per cell.

***

The structure with the greatest stability is version A.

***

Version A
Below is an optimized crystal structure of NaTcMo3, with properties calculated at the PBE level.

The space group is Pm-3m (No. 221) and the conventional cell measures 4.7730, 4.7730 and 4.7730 Å, with angles of 90.00, 90.00 and 90.00 degrees. The asymmetric unit holds Na at (0.0000, 0.0000, 0.0000), Tc at (0.5000, 0.5000, 0.5000) and Mo at (0.0000, 0.5000, 0.5000).

The calculation puts the total moment at 0.99 μB per cell.

***

Version B
Below is an optimized crystal structure of NaTcMo3, with properties calculated at the PBE level.

The space group is Pm-3m (No. 221) and the conventional cell measures 4.4363, 4.4363 and 4.4363 Å, with angles of 90.00, 90.00 and 90.00 degrees. The asymmetric unit holds Na at (0.0000, 0.0000, 0.0000), Tc at (0.5000, 0.5000, 0.5000) and Mo at (0.0000, 0.0000, 0.5000).

The calculation puts the total moment at 0.00 μB per cell.

***

The structure with the greatest stability is version A.

***

Version A
Below is an optimized crystal structure of NaZr2TcMo, with properties calculated at the PBE level.

The space group is P4/mmm (No. 123) and the conventional cell measures 4.9125, 4.9125 and 4.3071 Å, with angles of 90.00, 90.00 and 90.00 degrees. The asymmetric unit holds Na at (0.0000, 0.0000, 0.0000), Zr at (0.0000, 0.5000, 0.0000), Tc at (0.5000, 0.5000, 0.5000) and Mo at (0.0000, 0.0000, 0.5000).

The calculation puts the total moment at 0.00 μB per cell.

***

Version B
Below is an optimized crystal structure of NaZr2TcMo, with properties calculated at the PBE level.

The space group is P4/mmm (No. 123) and the conventional cell measures 4.9237, 4.9237 and 5.1182 Å, with angles of 90.00, 90.00 and 90.00 degrees. The asymmetric unit holds Na at (0.0000, 0.0000, 0.0000), Zr at (0.0000, 0.5000, 0.5000), Tc at (0.5000, 0.5000, 0.0000) and Mo at (0.0000, 0.0000, 0.5000).

The calculation puts the total moment at 2.90 μB per cell.

***

The structure with the greatest stability is version B.

***

Version A
Below is an optimized crystal structure of NaTe2Mo, with properties calculated at the PBE level.

The space group is R-3m (No. 166, hexagonal axes) and the conventional cell measures 3.2627, 3.2627 and 31.3680 Å, with angles of 90.00, 90.00 and 120.00 degrees. The asymmetric unit holds Na at (0.0000, 0.0000, 0.0000), Te at (0.0000, 0.0000, 0.4151) and Mo at (0.0000, 0.0000, 0.5000).

The calculation puts the total moment at 2.23 μB per cell.

***

Version B
Below is an optimized crystal structure of NaTe2Mo, with properties calculated at the PBE level.

The space group is R-3m (No. 166, hexagonal axes) and the conventional cell measures 3.5884, 3.5884 and 29.9824 Å, with angles of 90.00, 90.00 and 120.00 degrees. The asymmetric unit holds Na at (0.0000, 0.0000, 0.0000), Te at (0.0000, 0.0000, 0.1058) and Mo at (0.0000, 0.0000, 0.5000).

The calculation puts the total moment at 0.00 μB per cell.

***

The structure with the greatest stability is version B.

***

Version A
Below is an optimized crystal structure of NaTe2Mo, with properties calculated at the PBE level.

The space group is I-42d (No. 122) and the conventional cell measures 6.9618, 6.9618 and 11.7840 Å, with angles of 90.00, 90.00 and 90.00 degrees. The asymmetric unit holds Na at (0.0000, 0.0000, 0.0000), Te at (0.1844, 0.2500, 0.6250) and Mo at (0.0000, 0.0000, 0.5000).

The calculation puts the total moment at 0.00 μB per cell.

***

Version B
Below is an optimized crystal structure of NaTe2Mo, with properties calculated at the PBE level.

The space group is Fm-3m (No. 225) and the conventional cell measures 6.9881, 6.9881 and 6.9881 Å, with angles of 90.00, 90.00 and 90.00 degrees. The asymmetric unit holds Na at (0.0000, 0.0000, 0.0000), Te at (0.2500, 0.2500, 0.2500) and Mo at (0.0000, 0.0000, 0.5000).

The calculation puts the total moment at 3.11 μB per cell.

***

The structure with the greatest stability is version A.

***

Version A
Below is an optimized crystal structure of NaTeMo3, with properties calculated at the PBE level.

The space group is Pm-3m (No. 221) and the conventional cell measures 4.6675, 4.6675 and 4.6675 Å, with angles of 90.00, 90.00 and 90.00 degrees. The asymmetric unit holds Na at (0.0000, 0.0000, 0.0000), Te at (0.5000, 0.5000, 0.5000) and Mo at (0.0000, 0.0000, 0.5000).

The calculation puts the total moment at 4.98 μB per cell.

***

Version B
Below is an optimized crystal structure of NaTeMo3, with properties calculated at the PBE level.

The space group is Pm-3m (No. 221) and the conventional cell measures 4.9771, 4.9771 and 4.9771 Å, with angles of 90.00, 90.00 and 90.00 degrees. The asymmetric unit holds Na at (0.0000, 0.0000, 0.0000), Te at (0.5000, 0.5000, 0.5000) and Mo at (0.0000, 0.5000, 0.5000).

The calculation puts the total moment at 1.38 μB per cell.

***

The structure with the greatest stability is version B.